# 1
Below is an optimized crystal structure of CuC, with properties calculated at the PBE level.

```
CuC
1.0
-2.2489 -1.3678 -0.0632
1.3513 -2.2366 0.3221
-0.2210 0.2427 2.6124
C Cu
1 1
direct
0.0000 0.0000 0.0000
0.5000 0.5000 0.5000
```

Properties
**Theoretical density**: 6.87 g/cm3
**Calculated total energy**: -4.76 eV/atom
**Crystal system**: cubic
**Size of the total moment**: 0.00 μB per cell
**DOS(E_F)**: 0.58 states/eV/atom
**Formation energy from the elements**: 1.90 eV/atom



# 2
Below is an optimized crystal structure of NbSb2Pt, with properties calculated at the PBE level.

```
NbSb2Pt
1.0
-2.9436 5.2091 2.2954
-2.2275 -3.4322 4.9322
1.9968 2.1722 6.5767
Sb Nb Pt
4 2 2
direct
0.1096 0.6250 0.2500
0.8750 0.8904 0.7500
0.6404 0.1250 0.2500
0.3750 0.3596 0.7500
0.5000 0.5000 0.0000
0.2500 0.7500 0.5000
0.7500 0.2500 0.5000
0.0000 0.0000 0.0000
```

Properties
**Formation energy from raw total energies**: 0.33 eV/atom
**Theoretical density**: 7.67 g/cm3
**Calculated total energy**: -5.76 eV/atom
**Crystal system**: tetragonal
**Size of the total moment**: 0.00 μB per cell
**DOS(E_F)**: 0.94 states/eV/atom



# 3
Below is an optimized crystal structure of Pm2Nd3In2, with properties calculated at the PBE level.

```
Pm2Nd3In2
1.0
-0.2632 -3.6533 3.1624
0.7911 -2.3121 -2.6052
12.0372 -0.5134 4.1109
Nd Pm In
3 2 2
direct
0.1371 0.0000 0.7257
0.0000 0.0000 0.0000
0.8629 0.0000 0.2743
0.7104 0.5000 0.5791
0.2896 0.5000 0.4209
0.5700 0.5000 0.8600
0.4300 0.5000 0.1400
```

Properties
**Theoretical density**: 7.32 g/cm3
**Calculated total energy**: -4.36 eV/atom
**Crystal system**: orthorhombic
**Size of the total moment**: 0.00 μB per cell
**DOS(E_F)**: 1.09 states/eV/atom
**Formation energy from the elements**: -0.18 eV/atom



# 4
Below is an optimized crystal structure of PaCdHgPt, with properties calculated at the PBE level.

```
PaCdHgPt
1.0
-2.7298 1.1721 3.9820
2.0366 -0.1174 4.5299
0.8653 4.2373 2.4451
Pt Hg Cd Pa
1 1 1 1
direct
0.7500 0.7500 0.7500
0.2500 0.2500 0.2500
0.5000 0.5000 0.5000
0.0000 0.0000 0.0000
```

Properties
**Theoretical density**: 14.16 g/cm3
**Calculated total energy**: -4.52 eV/atom
**Crystal system**: cubic
**Size of the total moment**: 0.00 μB per cell
**DOS(E_F)**: 1.11 states/eV/atom
**Formation energy from the elements**: -0.33 eV/atom



> Which of these has the lowest theoretical density?

CuC



> Which value of size of the total moment does entry 1 give?

0.00 μB per cell